[1]
Crystalline ScCo13 at its relaxed geometry, computed with GGA-PBEsol.

- DOS at the Fermi energy (states/eV/atom) = 1.026
- SG = No. 226
- total energy (eV per atom) = -7.63
- calculated formation energy (eV/atom) = 0.028

Unit cell a=7.731 b=7.731 c=7.731 alpha=60.00 beta=60.00 gamma=60.00
Site moments in Bohr magnetons follow the coordinates.
Fractional positions:
Co 0.558 0.798 0.202  1.56
Co 0.702 0.298 0.058  1.56
Co 0.058 0.298 0.942  1.56
Co 0.798 0.202 0.558  1.56
Co 0.000 0.000 0.000  1.35
Sc 0.250 0.250 0.250  -0.28
Co 0.500 0.500 0.500  1.35
Co 0.942 0.058 0.298  1.56
Co 0.558 0.442 0.798  1.56
Co 0.942 0.702 0.058  1.56
Co 0.558 0.202 0.442  1.56
Co 0.702 0.942 0.298  1.56
Co 0.798 0.558 0.442  1.56
Co 0.202 0.442 0.558  1.56
Co 0.298 0.942 0.058  1.56
Co 0.942 0.298 0.702  1.56
Co 0.798 0.442 0.202  1.56
Co 0.202 0.558 0.798  1.56
Co 0.442 0.558 0.202  1.56
Co 0.058 0.942 0.702  1.56
Co 0.442 0.798 0.558  1.56
Co 0.202 0.798 0.442  1.56
Co 0.058 0.702 0.298  1.56
Co 0.298 0.702 0.942  1.56
Co 0.298 0.058 0.702  1.56
Sc 0.750 0.750 0.750  -0.28
Co 0.442 0.202 0.798  1.56
Co 0.702 0.058 0.942  1.56

[2]
Crystalline Sc4Co3 at its relaxed geometry, computed with GGA-PBEsol.

- DOS at the Fermi energy (states/eV/atom) = 0.797
- SG = No. 139
- total energy (eV per atom) = -7.17
- calculated formation energy (eV/atom) = -0.076

Unit cell a=3.320 b=3.320 c=10.711 alpha=98.91 beta=98.91 gamma=90.00
Fractional positions:
Sc 0.568 0.568 0.135
Co 0.705 0.705 0.411
Sc 0.171 0.171 0.342
Co 0.295 0.295 0.589
Sc 0.829 0.829 0.658
Co 0.000 0.000 0.000
Sc 0.432 0.432 0.865